Compound: CoGeIN2
Source: Alexandria
Functional: PBE
Structure: optimized geometry

The electronic total energy is -23.2 eV per formula unit. The value obtained for the uncorrected formation energy is 129.6 kJ/mol of atoms. For the energy above the most stable polymorph in this dataset, the calculation gives 0.000 eV per atom. The density of states at the Fermi level comes out at 2.75 states/eV per cell.

It has space group P4/mmm (No. 123), with a = 3.918 Å, b = 3.918 Å, c = 5.335 Å, α = 90.00°, β = 90.00° and γ = 90.00°. Symmetry generates all atoms from Co at (0.000, 0.000, 0.000), Ge at (0.500, 0.500, 0.500), I at (0.000, 0.000, 0.500) and N at (0.000, 0.500, 0.000).